A crystal of KMo2Ir relaxed with PBEsol, computed with SCAN.

Cell and atoms, written as extended XYZ:
```
4
Lattice="-0.283 1.776 -2.120 -0.453 -0.963 -2.569 -10.777 0.644 0.154" Properties=species:S:1:pos:R:3 pbc="T T T"
Ir -5.756 0.729 -2.268
K 0.000 0.000 0.000
Mo -8.166 1.077 -3.478
Mo -3.346 0.381 -1.058
```

Summary:
SG = R-3m (166)
energy of formation from the pure elements = 0.75 eV per atom
excess energy over the best structure of this formula in the dataset = 0.384 eV/f.u.
DFT total energy = -36.549 eV per atom


A crystal of K2MoIr relaxed with PBEsol, computed with SCAN.

Cell and atoms, written as extended XYZ:
```
4
Lattice="-1.032 -1.281 -2.260 -2.386 -1.446 0.181 -7.206 8.760 -3.403" Properties=species:S:1:pos:R:3 pbc="T T T"
K -8.078 4.700 -4.161
K -2.546 1.332 -1.321
Ir 0.000 0.000 0.000
Mo -5.312 3.016 -2.741
```

Summary:
SG = R-3m (166)
energy of formation from the pure elements = 1.15 eV per atom
excess energy over the best structure of this formula in the dataset = 2.258 eV/f.u.
DFT total energy = -29.511 eV per atom


A crystal of K2MoIr relaxed with PBEsol, computed with SCAN.

Cell and atoms, written as extended XYZ:
```
4
Lattice="2.955 0.000 0.000 -1.477 4.106 0.021 0.000 -0.418 9.960" Properties=species:S:1:pos:R:3 pbc="T T T"
K 0.000 1.734 6.594
K 0.000 0.070 0.929
Mo 0.000 3.819 4.122
Ir 1.477 1.962 3.337
```

Summary:
SG = Cm (8)
energy of formation from the pure elements = 0.58 eV per atom
excess energy over the best structure of this formula in the dataset = 0.000 eV/f.u.
DFT total energy = -30.076 eV per atom


A crystal of K2MoIr relaxed with PBEsol, computed with SCAN.

Cell and atoms, written as extended XYZ:
```
4
Lattice="2.710 0.000 0.000 0.000 5.219 0.000 0.000 0.000 5.710" Properties=species:S:1:pos:R:3 pbc="T T T"
K 0.000 1.292 0.000
Mo 1.355 2.610 2.855
Ir 1.355 0.000 2.855
K 0.000 3.927 0.000
```

Summary:
SG = Pmmm (47)
energy of formation from the pure elements = 1.17 eV per atom
excess energy over the best structure of this formula in the dataset = 2.324 eV/f.u.
DFT total energy = -29.495 eV per atom


A crystal of K3MoIr relaxed with PBEsol, computed with SCAN.

Cell and atoms, written as extended XYZ:
```
5
Lattice="-0.577 4.195 -4.209 -5.787 -1.360 -0.561 -1.353 4.025 4.197" Properties=species:S:1:pos:R:3 pbc="T T T"
K -2.893 -0.680 -0.281
Mo -3.859 3.430 -0.287
Ir 0.000 0.000 0.000
K -0.677 2.013 2.099
K -0.289 2.097 -2.105
```

Summary:
SG = Pm-3m (221)
energy of formation from the pure elements = 1.56 eV per atom
DFT total energy = -24.632 eV per atom


A crystal of K2MoIr relaxed with PBEsol, computed with SCAN.

Cell and atoms, written as extended XYZ:
```
4
Lattice="5.172 0.000 0.000 2.586 4.479 0.000 2.586 1.493 4.223" Properties=species:S:1:pos:R:3 pbc="T T T"
Mo 5.172 2.986 2.112
Ir 0.000 0.000 0.000
K 2.586 1.493 1.056
K 7.758 4.479 3.167
```

Summary:
SG = Fm-3m (225)
energy of formation from the pure elements = 1.82 eV per atom
excess energy over the best structure of this formula in the dataset = 4.936 eV/f.u.
DFT total energy = -28.842 eV per atom


A crystal of KMo2Ir relaxed with PBEsol, computed with SCAN.

Cell and atoms, written as extended XYZ:
```
4
Lattice="-0.408 -1.646 -2.109 -0.441 -2.914 2.360 -8.073 1.524 0.373" Properties=species:S:1:pos:R:3 pbc="T T T"
Mo -0.704 0.133 0.033
Mo -2.623 -1.865 0.227
K -6.303 -1.170 0.397
Ir -3.328 0.628 0.154
```

Summary:
SG = Pmm2 (25)
energy of formation from the pure elements = 0.65 eV per atom
excess energy over the best structure of this formula in the dataset = 0.000 eV/f.u.
DFT total energy = -36.645 eV per atom


A crystal of KMoIr2 relaxed with PBEsol, computed with SCAN.

Cell and atoms, written as extended XYZ:
```
4
Lattice="2.696 0.000 0.000 0.000 5.041 -0.013 0.000 -1.391 4.845" Properties=species:S:1:pos:R:3 pbc="T T T"
Mo 1.348 0.000 0.000
Ir 0.000 2.520 -0.007
K 1.348 1.825 2.416
Ir 0.000 -0.695 2.423
```

Summary:
SG = Cmmm (65)
energy of formation from the pure elements = 0.95 eV per atom
excess energy over the best structure of this formula in the dataset = 0.000 eV/f.u.
DFT total energy = -45.398 eV per atom


A crystal of K2MoIr relaxed with PBEsol, computed with SCAN.

Cell and atoms, written as extended XYZ:
```
4
Lattice="3.745 0.000 0.000 0.000 3.745 0.000 -1.873 -1.873 5.753" Properties=species:S:1:pos:R:3 pbc="T T T"
Ir 0.000 0.000 0.000
K 1.873 0.000 2.877
Mo 1.873 1.873 0.000
K 0.000 1.873 2.877
```

Summary:
SG = I4/mmm (139)
energy of formation from the pure elements = 1.03 eV per atom
excess energy over the best structure of this formula in the dataset = 1.760 eV/f.u.
DFT total energy = -29.635 eV per atom


A crystal of KMo2Ir relaxed with PBEsol, computed with SCAN.

Cell and atoms, written as extended XYZ:
```
4
Lattice="-0.304 -0.733 -2.813 -3.772 -1.737 2.378 -2.360 6.351 -1.399" Properties=species:S:1:pos:R:3 pbc="T T T"
K -2.771 0.218 -1.276
Ir -1.816 3.401 -2.208
Mo -3.776 3.603 -0.531
Mo -5.842 3.350 -1.760
```

Summary:
SG = Cm (8)
energy of formation from the pure elements = 0.77 eV per atom
excess energy over the best structure of this formula in the dataset = 0.443 eV/f.u.
DFT total energy = -36.534 eV per atom


A crystal of KMo2Ir relaxed with PBEsol, computed with SCAN.

Cell and atoms, written as extended XYZ:
```
4
Lattice="-0.545 -0.684 -2.569 -0.216 -2.603 0.739 -9.930 1.322 1.755" Properties=species:S:1:pos:R:3 pbc="T T T"
Mo -1.885 0.251 0.333
K -5.345 -0.982 -0.038
Mo -8.045 1.071 1.422
Ir -0.380 -1.643 -0.915
```

Summary:
SG = P4/mmm (123)
energy of formation from the pure elements = 0.69 eV per atom
excess energy over the best structure of this formula in the dataset = 0.160 eV/f.u.
DFT total energy = -36.605 eV per atom


A crystal of KSbMoIr2 relaxed with PBEsol, computed with SCAN.

Cell and atoms, written as extended XYZ:
```
5
Lattice="4.718 0.000 0.000 0.000 4.718 0.000 0.000 0.000 5.055" Properties=species:S:1:pos:R:3 pbc="T T T"
Ir 0.000 2.359 0.000
Sb 2.359 2.359 2.528
Mo 0.000 0.000 0.000
Ir 2.359 0.000 0.000
K 0.000 0.000 2.528
```

Summary:
SG = P4/mmm (123)
formation energy without anion corrections = 34.26 kcal/mol of atoms
DFT total energy = -43.049 eV per atom


A crystal of K2IrN relaxed with PBEsol, computed with SCAN.

Cell and atoms, written as extended XYZ:
```
8
Lattice="3.713 0.000 0.000 1.856 8.060 0.000 1.856 0.000 8.060" Properties=species:S:1:pos:R:3 pbc="T T T"
N 2.785 4.030 4.030
K 3.249 6.226 2.197
Ir 4.641 4.030 4.030
K 2.320 2.197 1.833
N 1.856 0.000 0.000
K 3.249 1.833 5.863
Ir 0.000 0.000 0.000
K 6.033 5.863 6.226
```

Summary:
SG = I-42d (122)
formation energy without anion corrections = -3.47 kcal/mol of atoms
DFT total energy = -24.412 eV per atom


A crystal of KNaIr3 relaxed with PBEsol, computed with SCAN.

Cell and atoms, written as extended XYZ:
```
5
Lattice="-0.097 4.158 -2.089 1.683 -1.916 -3.893 -4.338 -0.837 -1.463" Properties=species:S:1:pos:R:3 pbc="T T T"
Ir -2.169 -0.418 -0.732
Na 0.000 0.000 0.000
Ir -0.049 2.079 -1.044
Ir 0.841 -0.958 -1.946
K -1.376 0.702 -3.722
```

Summary:
SG = Pm-3m (221)
energy of formation from the pure elements = 2.38 eV per atom
DFT total energy = -42.784 eV per atom


A crystal of KNa2Ir relaxed with PBEsol, computed with SCAN.

Cell and atoms, written as extended XYZ:
```
8
Lattice="-1.989 -0.523 -4.137 4.169 -0.344 -1.961 -1.281 -9.687 4.421" Properties=species:S:1:pos:R:3 pbc="T T T"
K -1.090 -5.322 -1.383
Na 2.689 -2.891 -1.941
K 1.090 -0.434 -3.049
Ir 0.000 0.000 0.000
Na -0.603 -3.037 -3.472
Na -0.912 -7.356 2.658
Ir 1.989 -5.233 -0.294
Na 0.625 -7.826 -0.601
```

Summary:
SG = I-42d (122)
energy of formation from the pure elements = 0.84 eV per atom
DFT total energy = -21.124 eV per atom